[1]
# GaNiH

GaNiH after structural relaxation (PBE, Alexandria via LeMat-Bulk).

Cell lengths 2.9886, 2.9886, 3.7928 Å; angles 90.00, 90.00, 120.00 degrees
Closest atoms and distances in Å follow each position.
Positions (direct):
Ga (0.0000, 0.0000, 0.0000)  6 H 2.56-2.57, 6 Ni 2.56-2.57
Ni (0.6667, 0.3333, 0.4996)  3 H 1.73
H (0.3333, 0.6667, 0.5029)  3 Ni 1.73

Calculated values
As for the space-group type: No. 156. The final energy comes out at -4.120 eV/atom. The density of states at the Fermi level comes out at 0.15 states/eV per atom. The relative energy among the computed polymorphs comes out at 0.0170 eV per atom.

---

[2]
# GaNiH

GaNiH after structural relaxation (PBE, Alexandria via LeMat-Bulk).

Cell lengths 4.2948, 4.2948, 4.2948 Å; angles 138.88, 138.88, 59.56 degrees
Closest atoms and distances in Å follow each position.
Positions (direct):
Ga (0.0000, 0.0000, 0.0000)  4 H 2.15
Ni (0.6741, 0.6741, 0.0000)  1 H 1.55
H (0.4666, 0.4666, 0.0000)  1 Ni 1.55

Calculated values
As for the space-group type: No. 107. The final energy comes out at -3.881 eV/atom. The density of states at the Fermi level comes out at 0.33 states/eV per atom. The relative energy among the computed polymorphs comes out at 0.2565 eV per atom.

---

[3]
# Ga3Ni5H12

Ga3Ni5H12 after structural relaxation (PBE, Alexandria via LeMat-Bulk).

Cell lengths 9.3947, 9.3947, 9.3947 Å; angles 109.47, 109.47, 109.47 degrees
Closest atoms and distances in Å follow each position.
Positions (direct):
Ga (0.1250, 0.2500, 0.3750)  8 H 2.21-2.30
Ga (0.1250, 0.3750, 0.7500)  8 H 2.21-2.30
Ga (0.2500, 0.3750, 0.1250)  8 H 2.21-2.30
Ga (0.2500, 0.8750, 0.6250)  8 H 2.21-2.30
Ga (0.3750, 0.1250, 0.2500)  8 H 2.21-2.30
Ga (0.3750, 0.7500, 0.1250)  8 H 2.21-2.30
Ga (0.6250, 0.2500, 0.8750)  8 H 2.21-2.30
Ga (0.6250, 0.8750, 0.7500)  8 H 2.21-2.30
Ga (0.7500, 0.1250, 0.3750)  8 H 2.21-2.30
Ga (0.7500, 0.6250, 0.8750)  8 H 2.21-2.30
Ga (0.8750, 0.6250, 0.2500)  8 H 2.21-2.30
Ga (0.8750, 0.7500, 0.6250)  8 H 2.21-2.30
Ni (0.0000, 0.0000, 0.0000)  6 H 1.65
Ni (0.0000, 0.0000, 0.5000)  6 H 1.65
Ni (0.0000, 0.5000, 0.0000)  6 H 1.65
Ni (0.0000, 0.5000, 0.5000)  6 H 1.65
Ni (0.1250, 0.7500, 0.8750)  4 H 1.62
Ni (0.1250, 0.8750, 0.2500)  4 H 1.62
Ni (0.2500, 0.1250, 0.8750)  4 H 1.62
Ni (0.2500, 0.6250, 0.3750)  4 H 1.62
Ni (0.3750, 0.2500, 0.6250)  4 H 1.62
Ni (0.3750, 0.6250, 0.7500)  4 H 1.62
Ni (0.5000, 0.0000, 0.0000)  6 H 1.65
Ni (0.5000, 0.0000, 0.5000)  6 H 1.65
Ni (0.5000, 0.5000, 0.0000)  6 H 1.65
Ni (0.5000, 0.5000, 0.5000)  6 H 1.65
Ni (0.6250, 0.3750, 0.2500)  4 H 1.62
Ni (0.6250, 0.7500, 0.3750)  4 H 1.62
Ni (0.7500, 0.3750, 0.6250)  4 H 1.62
Ni (0.7500, 0.8750, 0.1250)  4 H 1.62
Ni (0.8750, 0.1250, 0.7500)  4 H 1.62
Ni (0.8750, 0.2500, 0.1250)  4 H 1.62
H (0.0065, 0.1870, 0.0897)  2 Ni 1.62-1.65
H (0.0065, 0.3195, 0.9168)  2 Ni 1.62-1.65
H (0.0832, 0.5897, 0.4028)  2 Ni 1.62-1.65
H (0.0832, 0.9935, 0.6805)  2 Ni 1.62-1.65
H (0.0897, 0.0065, 0.1870)  2 Ni 1.62-1.65
H (0.0897, 0.5832, 0.9028)  2 Ni 1.62-1.65
H (0.0972, 0.6870, 0.6805)  2 Ni 1.62-1.65
H (0.0972, 0.9103, 0.4168)  2 Ni 1.62-1.65
H (0.1805, 0.1870, 0.5972)  2 Ni 1.62-1.65
H (0.1805, 0.4935, 0.5832)  2 Ni 1.62-1.65
H (0.1870, 0.0897, 0.0065)  2 Ni 1.62-1.65
H (0.1870, 0.5972, 0.1805)  2 Ni 1.62-1.65
H (0.3130, 0.3195, 0.9028)  2 Ni 1.62-1.65
H (0.3130, 0.4935, 0.4103)  2 Ni 1.62-1.65
H (0.3195, 0.9028, 0.3130)  2 Ni 1.62-1.65
H (0.3195, 0.9168, 0.0065)  2 Ni 1.62-1.65
H (0.4028, 0.0832, 0.5897)  2 Ni 1.62-1.65
H (0.4028, 0.8195, 0.8130)  2 Ni 1.62-1.65
H (0.4103, 0.3130, 0.4935)  2 Ni 1.62-1.65
H (0.4103, 0.5972, 0.9168)  2 Ni 1.62-1.65
H (0.4168, 0.0972, 0.9103)  2 Ni 1.62-1.65
H (0.4168, 0.8195, 0.5065)  2 Ni 1.62-1.65
H (0.4935, 0.4103, 0.3130)  2 Ni 1.62-1.65
H (0.4935, 0.5832, 0.1805)  2 Ni 1.62-1.65
H (0.5065, 0.4168, 0.8195)  2 Ni 1.62-1.65
H (0.5065, 0.5897, 0.6870)  2 Ni 1.62-1.65
H (0.5832, 0.1805, 0.4935)  2 Ni 1.62-1.65
H (0.5832, 0.9028, 0.0897)  2 Ni 1.62-1.65
H (0.5897, 0.4028, 0.0832)  2 Ni 1.62-1.65
H (0.5897, 0.6870, 0.5065)  2 Ni 1.62-1.65
H (0.5972, 0.1805, 0.1870)  2 Ni 1.62-1.65
H (0.5972, 0.9168, 0.4103)  2 Ni 1.62-1.65
H (0.6805, 0.0832, 0.9935)  2 Ni 1.62-1.65
H (0.6805, 0.0972, 0.6870)  2 Ni 1.62-1.65
H (0.6870, 0.5065, 0.5897)  2 Ni 1.62-1.65
H (0.6870, 0.6805, 0.0972)  2 Ni 1.62-1.65
H (0.8130, 0.4028, 0.8195)  2 Ni 1.62-1.65
H (0.8130, 0.9103, 0.9935)  2 Ni 1.62-1.65
H (0.8195, 0.5065, 0.4168)  2 Ni 1.62-1.65
H (0.8195, 0.8130, 0.4028)  2 Ni 1.62-1.65
H (0.9028, 0.0897, 0.5832)  2 Ni 1.62-1.65
H (0.9028, 0.3130, 0.3195)  2 Ni 1.62-1.65
H (0.9103, 0.4168, 0.0972)  2 Ni 1.62-1.65
H (0.9103, 0.9935, 0.8130)  2 Ni 1.62-1.65
H (0.9168, 0.0065, 0.3195)  2 Ni 1.62-1.65
H (0.9168, 0.4103, 0.5972)  2 Ni 1.62-1.65
H (0.9935, 0.6805, 0.0832)  2 Ni 1.62-1.65
H (0.9935, 0.8130, 0.9103)  2 Ni 1.62-1.65

Calculated values
As for the space-group type: No. 230. The final energy comes out at -3.694 eV/atom. The density of states at the Fermi level comes out at 0.25 states/eV per atom.

---

Which of these has the lowest final energy?
number 1

---

Which of these has the lowest final energy?
number 1

---

Look up the final energy of the second one.
-3.881 eV/atom

---

final energy of number 2 (GaNiH)?
-3.881 eV/atom